DFT (PBE) results for a relaxed HfZr2N crystal.

Output
symmetry = No. 166
formation energy from raw total energies = -0.839 eV/atom
calculated total energy = -9.68 eV/atom
total moment = 0.000 μB per atom

a b c (Å): 8.130 8.130 8.130
angles (deg): 23.03 23.03 23.03
Atoms (fractional coordinates):
Hf (0.000, 0.000, 0.000)
Zr (0.222, 0.222, 0.222)
Zr (0.778, 0.778, 0.778)
N (0.500, 0.500, 0.500)



DFT (PBE) results for a relaxed HfZrN2 crystal.

Output
symmetry = No. 225
formation energy from raw total energies = -0.781 eV/atom
calculated total energy = -9.57 eV/atom
total moment = 0.000 μB per atom

a b c (Å): 4.009 4.009 4.009
angles (deg): 60.00 60.00 60.00
Atoms (fractional coordinates):
Hf (0.000, 0.000, 0.000)
Zr (0.500, 0.500, 0.500)
N (0.250, 0.250, 0.250)
N (0.750, 0.750, 0.750)